Record 1
First-principles (PBE-GGA) data for a relaxed structure of SiPRh2, as listed in Alexandria.

Cell lengths 2.8586, 2.8894, 6.8928 Å; angles 89.99, 90.00, 90.00 degrees
With the nearest neighbours (Å) after each atom.
Positions (direct):
P  0.5000  0.7500  0.7500  4 Rh 2.48
Rh  0.0000  0.7501  0.0434  2 P 2.48, 4 Si 2.48
Rh  0.0000  0.7499  0.4566  2 P 2.48, 4 Si 2.48
Si  0.5000  0.2500  0.2500  8 Rh 2.48

Summary:
total magnetic moment	0.000	Bohr magnetons per cell
uncorrected formation energy	-460	meV per atom
symmetry	No. 47

Record 2
First-principles (PBE-GGA) data for a relaxed structure of TaAs2O8, as listed in Alexandria.

Cell lengths 6.7176, 5.5100, 5.5100 Å; angles 120.00, 90.00, 90.00 degrees
With the nearest neighbours (Å) after each atom.
Positions (direct):
Ta  0.5000  0.0000  0.0000  6 O 1.97
As  0.7673  0.6667  0.3333  4 O 1.69-1.71
As  0.2327  0.3333  0.6667  4 O 1.69-1.71
O  0.9804  0.3333  0.6667  1 As 1.69
O  0.0196  0.6667  0.3333  1 As 1.69
O  0.3283  0.1671  0.3343  1 As 1.71
O  0.6717  0.8329  0.6657  1 As 1.71
O  0.6717  0.3343  0.1671  1 As 1.71
O  0.3283  0.6657  0.8329  1 As 1.71
O  0.3283  0.1671  0.8329  1 As 1.71
O  0.6717  0.8329  0.1671  1 As 1.71

Summary:
total magnetic moment	1.039	Bohr magnetons per cell
uncorrected formation energy	-1480	meV per atom
symmetry	No. 164

Record 3
First-principles (PBE-GGA) data for a relaxed structure of NaOs2Cl2, as listed in Alexandria.

Cell lengths 4.4551, 4.4551, 6.2002 Å; angles 68.94, 68.94, 90.00 degrees
With the nearest neighbours (Å) after each atom.
Positions (direct):
Na  0.0000  0.0000  0.0000  8 Os 3.33, 8 Cl 3.48
Os  0.3987  0.3987  0.2026  1 Os 2.16
Os  0.6013  0.6013  0.7974  1 Os 2.16
Cl  0.7500  0.2500  0.5000  4 Os 2.74
Cl  0.2500  0.7500  0.5000  4 Os 2.74

Summary:
polymorph energy (0 for the lowest one)	0.086	eV/atom
total magnetic moment	0.984	Bohr magnetons per cell
uncorrected formation energy	824	meV per atom
symmetry	No. 139

Record 4
First-principles (PBE-GGA) data for a relaxed structure of Pr2Si4Pt3Au, as listed in Alexandria.

Cell lengths 4.3151, 4.3151, 9.9289 Å; angles 90.00, 90.00, 90.00 degrees
With the nearest neighbours (Å) after each atom.
Positions (direct):
Pr  0.5000  0.0000  0.2447  8 Si 3.25-3.27, 7 Pt 3.30-3.59, 2 Au 3.33
Pr  0.0000  0.5000  0.7553  8 Si 3.25-3.27, 7 Pt 3.30-3.59, 2 Au 3.33
Si  0.5000  0.5000  0.0000  4 Pt 2.45
Si  0.0000  0.0000  0.0000  4 Pt 2.45
Si  0.5000  0.0000  0.6381  3 Pt 2.43-2.56, 2 Au 2.56
Si  0.0000  0.5000  0.3619  3 Pt 2.43-2.56, 2 Au 2.56
Pt  0.0000  0.0000  0.5000  4 Si 2.56
Pt  0.5000  0.0000  0.8831  5 Si 2.43-2.45
Pt  0.0000  0.5000  0.1169  5 Si 2.43-2.45
Au  0.5000  0.5000  0.5000  4 Si 2.56

Summary:
total magnetic moment	0.000	Bohr magnetons per cell
uncorrected formation energy	-1004	meV per atom
symmetry	No. 115

Record 5
First-principles (PBE-GGA) data for a relaxed structure of YTm2Cd, as listed in Alexandria.

Cell lengths 3.5419, 3.5419, 10.8845 Å; angles 80.64, 80.64, 60.00 degrees
With the nearest neighbours (Å) after each atom.
Positions (direct):
Y  0.5000  0.5000  0.5000  6 Tm 3.52, 6 Y 3.54
Tm  0.2558  0.2558  0.2325  3 Cd 3.22, 3 Y 3.52, 6 Tm 3.54
Tm  0.7442  0.7442  0.7675  3 Cd 3.22, 3 Y 3.52, 6 Tm 3.54
Cd  0.0000  0.0000  0.0000  6 Tm 3.22, 6 Cd 3.54

Summary:
polymorph energy (0 for the lowest one)	0.091	eV/atom
total magnetic moment	0.000	Bohr magnetons per cell
E_form	-0.0682	eV per atom
symmetry	No. 166

Record 6
First-principles (PBE-GGA) data for a relaxed structure of VSnMoRu, as listed in Alexandria.

Cell lengths 4.4689, 4.4689, 4.4689 Å; angles 60.00, 60.00, 60.00 degrees
With the nearest neighbours (Å) after each atom.
Positions (direct):
Ru  0.7500  0.7500  0.7500  4 Sn 2.74, 4 V 2.74
Mo  0.2500  0.2500  0.2500  4 V 2.74, 4 Sn 2.74
Sn  0.5000  0.5000  0.5000  4 Mo 2.74, 4 Ru 2.74
V  0.0000  0.0000  0.0000  4 Mo 2.74, 4 Ru 2.74

Summary:
total magnetic moment	0.000	Bohr magnetons per cell
E_form	-0.0260	eV per atom
symmetry	No. 216

Record 7
First-principles (PBE-GGA) data for a relaxed structure of NpAsW, as listed in Alexandria.

Cell lengths 3.4733, 3.4733, 10.8108 Å; angles 80.76, 80.76, 60.00 degrees
With the nearest neighbours (Å) after each atom.
Positions (direct):
As  0.5855  0.5855  0.2436  3 W 2.61, 3 Np 2.86
As  0.4145  0.4145  0.7564  3 W 2.61, 3 Np 2.86
W  0.3048  0.3048  0.0857  3 As 2.61, 3 W 2.71
W  0.6952  0.6952  0.9143  3 As 2.61, 3 W 2.71
Np  0.8547  0.8547  0.4358  3 Np 2.43
Np  0.1453  0.1453  0.5642  3 Np 2.43

Summary:
total magnetic moment	0.000	Bohr magnetons per cell
E_form	0.0084	eV per atom
symmetry	No. 166

Record 8
First-principles (PBE-GGA) data for a relaxed structure of Mg5Si6, as listed in Alexandria.

Cell lengths 14.7909, 14.7909, 6.8852 Å; angles 86.98, 86.98, 15.75 degrees
With the nearest neighbours (Å) after each atom.
Positions (direct):
Mg  0.9190  0.9190  0.2723  4 Si 2.71-2.86
Mg  0.1831  0.1831  0.9405  3 Si 2.66-2.76
Mg  0.0417  0.0417  0.7544  7 Si 2.72-2.94
Mg  0.7534  0.7534  0.1177  8 Si 2.90-3.11, 2 Mg 3.18
Mg  0.3456  0.3456  0.1070  6 Si 2.86-2.99
Mg  0.4613  0.4613  0.9367  7 Si 2.82-2.98
Mg  0.6406  0.6406  0.2344  6 Si 2.70-2.88
Mg  0.7142  0.7142  0.6207  8 Si 2.89-3.04, 2 Mg 3.09
Mg  0.3833  0.3833  0.5878  8 Si 2.91-2.99, 2 Mg 3.11
Mg  0.5000  0.5000  0.4312  8 Si 2.81-3.03
Si  0.9526  0.9526  0.6396  1 Si 2.36
Si  0.8958  0.8958  0.8960  2 Si 2.36-2.40
Si  0.1996  0.1996  0.3261  2 Si 2.42-2.43
Si  0.1442  0.1442  0.6007  3 Si 2.43-2.56, 1 Mg 2.66
Si  0.5915  0.5915  0.5784  4 Si 2.56-2.65, 3 Mg 2.70-2.74
Si  0.8247  0.8247  0.4012  3 Si 2.48-2.52
Si  0.2741  0.2741  0.8152  3 Si 2.46-2.57
Si  0.5578  0.5578  0.0525  2 Si 2.52, 1 Mg 2.79
Si  0.0096  0.0096  0.1328  3 Si 2.45-2.52, 1 Mg 2.72
Si  0.8212  0.8212  0.7680  4 Si 2.40-2.52
Si  0.2762  0.2762  0.4417  4 Si 2.42-2.57
Si  0.0742  0.0742  0.3450  3 Si 2.45-2.65

Summary:
polymorph energy (0 for the lowest one)	0.030	eV/atom
total magnetic moment	0.000	Bohr magnetons per cell
uncorrected formation energy	56	meV per atom
symmetry	No. 8

- Which value of total magnetic moment does entry 2 give?
  1.039 Bohr magnetons per cell

- Look up the total magnetic moment of the fourth one.
  0.000 Bohr magnetons per cell